1.
## PmPuSO2 (PBE)

Data for PmPuSO2 after structural relaxation.

Cell: 3.8378 3.8378 6.6830 Å, 106.69 106.69 90.00°
Site moments in Bohr magnetons follow the coordinates.
Fractional coordinates of all 5 atoms:
Pu1 0.8522 0.8522 0.7044  4.94
O1 0.7505 0.2505 0.5010  -0.04
O2 0.2505 0.7505 0.5010  -0.04
Pm1 0.1462 0.1462 0.2924  0.03
S1 0.5006 0.5006 0.0012  -0.04

Output
- formation energy without anion corrections (eV/atom) = -2.729
- calculated total energy (hartree per atom) = -0.3438

2.
## LiGaPt3 (PBE)

Data for LiGaPt3 after structural relaxation.

Cell: 5.4178 6.6591 9.4902 Å, 114.84 90.00 90.00°
Fractional coordinates of all 20 atoms:
Pt1 0.1177 0.3701 0.5671
Pt2 0.8917 0.7582 0.7505
Pt3 0.3185 0.4896 0.1069
Pt4 0.8185 0.0104 0.3931
Pt5 0.3917 0.7418 0.7495
Pt6 0.6177 0.1299 0.9329
Pt7 0.1083 0.2418 0.2495
Pt8 0.6815 0.5104 0.8931
Pt9 0.8823 0.6299 0.4329
Pt10 0.1815 0.9896 0.6069
Pt11 0.6083 0.2582 0.2505
Pt12 0.3823 0.8701 0.0671
Ga1 0.6521 0.0057 0.6448
Ga2 0.1521 0.4943 0.8552
Ga3 0.8479 0.5057 0.1448
Ga4 0.3479 0.9943 0.3552
Li1 0.6248 0.3909 0.5707
Li2 0.1248 0.1091 0.9293
Li3 0.3752 0.6091 0.4293
Li4 0.8752 0.8909 0.0707

Output
- calculated total energy (hartree per atom) = -0.1880

3.
## LaVSe2 (PBE)

Data for LaVSe2 after structural relaxation.

Cell: 5.9109 5.9109 8.1205 Å, 68.66 68.66 90.00°
Site moments in Bohr magnetons follow the coordinates.
Fractional coordinates of all 8 atoms:
Se1 0.8750 0.8177 0.7500  -0.04
Se2 0.1823 0.6250 0.2500  -0.04
Se3 0.3750 0.4323 0.7500  -0.04
Se4 0.5677 0.1250 0.2500  -0.04
La1 0.0000 0.0000 0.0000  0.27
La2 0.7500 0.2500 0.5000  0.27
V1 0.5000 0.5000 0.0000  2.71
V2 0.2500 0.7500 0.5000  2.71

Output
- formation energy without anion corrections (eV/atom) = -0.877
- calculated total energy (hartree per atom) = -0.2253

4.
## LaPm2Nd7 (PBE)

Data for LaPm2Nd7 after structural relaxation.

Cell: 5.6893 9.3884 9.3884 Å, 123.11 90.00 90.00°
Fractional coordinates of all 10 atoms:
Pm1 0.5000 0.7026 0.2974
Pm2 0.5000 0.2974 0.7026
Nd1 0.5000 0.2959 0.0647
Nd2 0.0000 0.2283 0.7717
Nd3 0.5000 0.9353 0.7041
Nd4 0.5000 0.0647 0.2959
Nd5 0.5000 0.5000 0.5000
Nd6 0.0000 0.7717 0.2283
Nd7 0.5000 0.7041 0.9353
La1 0.0000 0.0000 0.0000

Output
- calculated total energy (hartree per atom) = -0.1532

5.
## Li2Ag2Au3 (PBE)

Data for Li2Ag2Au3 after structural relaxation.

Cell: 4.0803 2.8697 10.5096 Å, 90.00 78.81 90.00°
Fractional coordinates of all 7 atoms:
Ag1 0.2942 0.5000 0.4115
Ag2 0.7058 0.5000 0.5885
Au1 0.1369 0.0000 0.7263
Au2 0.0000 0.0000 0.0000
Au3 0.8631 0.0000 0.2737
Li1 0.5705 0.5000 0.8590
Li2 0.4295 0.5000 0.1410

Output
- calculated total energy (hartree per atom) = -0.1115

6.
## Pu2Ni9Pd (PBE)

Data for Pu2Ni9Pd after structural relaxation.

Cell: 4.8745 4.8745 8.4924 Å, 73.32 73.32 60.00°
Site moments in Bohr magnetons follow the coordinates.
Fractional coordinates of all 12 atoms:
Pu1 0.8636 0.8636 0.4093  4.92
Pu2 0.1364 0.1364 0.5907  4.92
Ni1 0.0800 0.5821 0.7558  -0.41
Ni2 0.5000 0.5000 0.5000  -0.21
Ni3 0.5821 0.5821 0.7558  -0.41
Ni4 0.4179 0.4179 0.2442  -0.41
Ni5 0.6670 0.6670 0.9989  -0.54
Ni6 0.9200 0.4179 0.2442  -0.41
Ni7 0.3330 0.3330 0.0011  -0.54
Ni8 0.4179 0.9200 0.2442  -0.41
Ni9 0.5821 0.0800 0.7558  -0.41
Pd1 0.0000 0.0000 0.0000  -0.09

Output
- calculated total energy (hartree per atom) = -0.2660

7.
## Er3ScGa3 (PBE)

Data for Er3ScGa3 after structural relaxation.

Cell: 4.8040 8.8434 8.8434 Å, 120.00 90.00 90.00°
Fractional coordinates of all 14 atoms:
Ga1 0.7500 0.9423 0.5509
Ga2 0.7500 0.6086 0.0577
Ga3 0.2500 0.3914 0.9423
Ga4 0.2500 0.5509 0.6086
Ga5 0.2500 0.0577 0.4491
Ga6 0.7500 0.4491 0.3914
Er1 0.2500 0.7511 0.9937
Er2 0.7500 0.2489 0.0063
Er3 0.7500 0.9937 0.2425
Er4 0.2500 0.0063 0.7575
Er5 0.2500 0.2425 0.2489
Er6 0.7500 0.7575 0.7511
Sc1 0.7500 0.3333 0.6667
Sc2 0.2500 0.6667 0.3333

Output
- calculated total energy (hartree per atom) = -0.1661

8.
## Ac8Pr6Tm (PBE)

Data for Ac8Pr6Tm after structural relaxation.

Cell: 9.2866 9.2866 9.2866 Å, 66.55 66.55 66.55°
Fractional coordinates of all 15 atoms:
Pr1 0.9364 0.6297 0.3202
Pr2 0.3202 0.9364 0.6297
Pr3 0.6297 0.3202 0.9364
Pr4 0.0636 0.3703 0.6798
Pr5 0.6798 0.0636 0.3703
Pr6 0.3703 0.6798 0.0636
Ac1 0.8646 0.1738 0.5908
Ac2 0.1354 0.8262 0.4092
Ac3 0.1738 0.5908 0.8646
Ac4 0.4092 0.1354 0.8262
Ac5 0.8262 0.4092 0.1354
Ac6 0.2665 0.2665 0.2665
Ac7 0.7335 0.7335 0.7335
Ac8 0.5908 0.8646 0.1738
Tm1 0.0000 0.0000 0.0000

Output
- calculated total energy (hartree per atom) = -0.1534

Number 1: theoretical density 8.36 g/cm3. Number 2: theoretical density 14.15 g/cm3. Number 3: theoretical density 4.75 g/cm3. Number 4: theoretical density 5.69 g/cm3. Number 5: theoretical density 11.29 g/cm3. Number 6: theoretical density 11.31 g/cm3. Number 7: theoretical density 7.72 g/cm3. Number 8: theoretical density 7.27 g/cm3.